No. 1
First-principles (PBE-GGA) data for a relaxed Pm3Sm6HoTm2 crystal, as listed in the Alexandria database.

Results
DFT total energy ... -4.657 eV/atom
Total magnetic moment ... 0.00 μB per cell

Geometry as POSCAR:
```
Pm3Sm6HoTm2
1.0
3.122 -5.407 0.000
3.122 5.407 0.000
-2.079 0.000 11.725
Pm Sm Ho Tm
3 6 1 2
Cartesian
0.000 0.000 0.000
3.122 1.803 0.000
3.122 -1.803 0.000
1.038 1.804 2.981
0.003 0.000 8.742
1.038 -1.804 2.981
3.127 1.804 8.744
4.163 0.000 2.982
3.127 -1.804 8.744
2.083 0.000 5.862
2.083 3.604 5.862
2.083 -3.604 5.862
```



No. 2
First-principles (PBE-GGA) data for a relaxed Pm5SmHo2Tm crystal, as listed in the Alexandria database.

Results
DFT total energy ... -4.532 eV/atom
Total magnetic moment ... 0.00 μB per cell

Geometry as POSCAR:
```
Pm5SmHo2Tm
1.0
2.815 -10.146 0.000
2.815 10.146 0.000
0.000 0.000 10.706
Pm Sm Ho Tm
10 2 4 2
Cartesian
2.815 9.815 5.353
2.815 4.441 8.436
2.815 4.108 1.969
2.815 2.239 5.382
2.815 0.387 2.376
2.815 -0.387 7.729
2.815 -2.239 0.029
2.815 -4.108 7.322
2.815 -4.441 3.083
2.815 -9.815 0.000
2.815 6.078 5.232
2.815 -6.078 10.586
2.815 7.907 2.332
2.815 7.805 8.493
2.815 -7.805 3.140
2.815 -7.907 7.685
2.815 1.832 10.061
2.815 -1.832 4.708
```



No. 3
First-principles (PBE-GGA) data for a relaxed PmSm3Ho2Tm6 crystal, as listed in the Alexandria database.

Results
DFT total energy ... -4.554 eV/atom
Total magnetic moment ... 0.00 μB per cell

Geometry as POSCAR:
```
PmSm3Ho2Tm6
1.0
3.071 -5.317 0.000
3.071 5.317 0.000
-2.044 0.000 11.497
Pm Sm Ho Tm
1 3 2 6
Cartesian
0.000 0.000 0.000
2.049 3.543 5.748
2.049 0.000 5.748
2.049 -3.543 5.748
3.071 1.774 0.000
3.071 -1.774 0.000
1.028 1.774 2.858
0.003 0.000 8.640
1.028 -1.774 2.858
3.070 1.774 8.639
4.095 0.000 2.856
3.070 -1.774 8.639
```



> Look up the DFT total energy of the third one.

-4.554 eV/atom